<1>
Here is a relaxed structure of Ce8GaHg2 from Alexandria. Energies are from PBE-GGA.

Mass density: 8697 kg/m3
Symmetry: C2/m (12)

Unit cell a=5.929 b=8.569 c=8.325 alpha=59.02 beta=73.69 gamma=56.94
Fractional coordinates of all 11 atoms:
Ce 0.962 0.078 0.195
Ce 0.962 0.272 0.805
Ce 0.338 0.383 0.000
Ce 0.500 0.782 0.437
Ce 0.500 0.218 0.563
Ce 0.662 0.617 0.000
Ce 0.038 0.728 0.195
Ce 0.038 0.922 0.805
Ga 0.500 0.000 0.000
Hg 0.000 0.304 0.391
Hg 0.000 0.696 0.609

<2>
Here is a relaxed structure of Ce8GaHg2 from Alexandria. Energies are from PBE-GGA.

Mass density: 9263 kg/m3
Symmetry: Immm (71)

Unit cell a=5.277 b=9.541 c=7.862 alpha=127.32 beta=109.61 gamma=90.00
Fractional coordinates of all 11 atoms:
Ce 0.657 0.885 0.314
Ce 0.343 0.572 0.687
Ce 0.182 0.182 0.364
Ce 0.000 0.205 0.000
Ce 0.818 0.818 0.636
Ce 0.657 0.428 0.313
Ce 0.343 0.115 0.686
Ce 0.000 0.795 0.000
Ga 0.500 0.000 0.000
Hg 0.145 0.645 0.291
Hg 0.855 0.355 0.709

<1> has the most favorable energy; the next structure is 0.019 eV/atom above.